Entry 1:
A relaxed structure of KRbZrSe3, computed with PBE.

```
data_KRbZrSe3
_chemical_formula_sum 'K4 Rb4 Zr4 Se12'
_cell_length_a 7.886
_cell_length_b 15.585
_cell_length_c 7.187
_cell_angle_alpha 90.00
_cell_angle_beta 102.94
_cell_angle_gamma 90.00
_space_group_name_H-M_alt 'C 1 2/c 1'
_space_group_IT_number 15
loop_
_space_group_symop_operation_xyz
'x,y,z'
'-x,-y,-z'
'-x,y,-z+1/2'
'x,-y,z+1/2'
'x+1/2,y+1/2,z'
'-x+1/2,-y+1/2,-z'
'-x+1/2,y+1/2,-z+1/2'
'x+1/2,-y+1/2,z+1/2'
loop_
_atom_site_label
_atom_site_fract_x
_atom_site_fract_y
_atom_site_fract_z
K1 0.000 0.086 0.250
Rb1 0.000 0.261 0.750
Zr1 0.000 0.451 0.250
Se1 0.000 0.289 0.250
Se2 0.217 0.456 0.001
```

Values from the calculation:
- DFT total energy: -4.85 eV per atom

Entry 2:
A relaxed structure of K3RbSi, computed with PBE.

```
data_K3RbSi
_chemical_formula_sum 'K3 Rb1 Si1'
_cell_length_a 6.688
_cell_length_b 6.688
_cell_length_c 6.688
_cell_angle_alpha 90.00
_cell_angle_beta 90.00
_cell_angle_gamma 90.00
_space_group_name_H-M_alt 'P m -3 m'
_space_group_IT_number 221
_space_group_name_Hall '-P 4 2 3'
loop_
_atom_site_label
_atom_site_fract_x
_atom_site_fract_y
_atom_site_fract_z
K1 0.000 0.000 0.500
Rb1 0.500 0.500 0.500
Si1 0.000 0.000 0.000
```

Values from the calculation:
- Energy above the lowest structure with this stoichiometry: 0.0000 eV per atom

Entry 3:
A relaxed structure of KRbSi12, computed with PBE.

```
data_KRbSi12
_chemical_formula_sum 'K1 Rb1 Si12'
_cell_length_a 5.871
_cell_length_b 5.871
_cell_length_c 12.244
_cell_angle_alpha 90.00
_cell_angle_beta 90.00
_cell_angle_gamma 90.00
_space_group_name_H-M_alt 'P 4/m m m'
_space_group_IT_number 123
_space_group_name_Hall '-P 4 2'
loop_
_atom_site_label
_atom_site_fract_x
_atom_site_fract_y
_atom_site_fract_z
K1 0.000 0.000 0.000
Rb1 0.000 0.000 0.500
Si1 0.209 0.500 0.250
Si2 0.500 0.500 0.097
Si3 0.500 0.500 0.403
```

Values from the calculation:
- DFT total energy: -4.22 eV per atom

Taking the records one at a time from the top gives magnetic moment values of 0.00 0.24 0.00 μB/f.u..